Pr2TmAgTe5: optimized geometry, PBE.

a b c (Å): 9.7459 9.7459 13.3043
angles (deg): 90.00 90.00 153.90
Fractional positions:
Pr 0.1110 0.8890 0.5000
Pr 0.1256 0.8744 0.1179
Pr 0.8744 0.1256 0.6179
Pr 0.8890 0.1110 0.0000
Tm 0.1921 0.8079 0.8220
Tm 0.8079 0.1921 0.3220
Ag 0.4304 0.5696 0.2727
Ag 0.5696 0.4304 0.7727
Te 0.0437 0.9563 0.8890
Te 0.2858 0.7142 0.4785
Te 0.3047 0.6953 0.1557
Te 0.3547 0.6453 0.8119
Te 0.4988 0.5012 0.5921
Te 0.5012 0.4988 0.0921
Te 0.6453 0.3547 0.3119
Te 0.6953 0.3047 0.6557
Te 0.7142 0.2858 0.9785
Te 0.9563 0.0437 0.3890

Results
The density of states at the Fermi level is 0.007 states/eV per atom. The total energy comes out at -4.809 eV/atom. The raw formation energy comes out at -1.19 eV/atom.

---

Mg3MoH: optimized geometry, PBE.

a b c (Å): 4.2360 4.2360 4.2360
angles (deg): 90.00 90.00 90.00
Fractional positions:
Mg 0.0000 0.0000 0.5000
Mg 0.0000 0.5000 0.0000
Mg 0.5000 0.0000 0.0000
Mo 0.5000 0.5000 0.5000
H 0.0000 0.0000 0.0000

Results
The density of states at the Fermi level is 0.971 states/eV per atom. The total energy comes out at -3.465 eV/atom.

---

Y6GeP2Se3: optimized geometry, PBE.

a b c (Å): 9.1589 9.1589 8.2032
angles (deg): 103.61 103.61 25.68
Fractional positions:
Y 0.0043 0.0043 0.2435
Y 0.3283 0.3283 0.4282
Y 0.3363 0.3363 0.9041
Y 0.6637 0.6637 0.0959
Y 0.6717 0.6717 0.5718
Y 0.9957 0.9957 0.7565
Ge 0.5000 0.5000 0.0000
P 0.1674 0.1674 0.3349
P 0.8326 0.8326 0.6651
Se 0.1671 0.1671 0.8323
Se 0.5000 0.5000 0.5000
Se 0.8329 0.8329 0.1677

Results
The density of states at the Fermi level is 0.331 states/eV per atom. The total energy comes out at -7.062 eV/atom. The raw formation energy comes out at -1.67 eV/atom.

---

Sr7Ac2: optimized geometry, PBE.

a b c (Å): 7.2145 7.2145 10.2573
angles (deg): 90.00 90.00 120.00
Fractional positions:
Sr 0.0000 0.0000 0.0000
Sr 0.0000 0.3357 0.6710
Sr 0.0000 0.6643 0.3290
Sr 0.3357 0.0000 0.6710
Sr 0.3357 0.3357 0.3290
Sr 0.6643 0.0000 0.3290
Sr 0.6643 0.6643 0.6710
Ac 0.3333 0.6667 0.0000
Ac 0.6667 0.3333 0.0000

Results
The density of states at the Fermi level is 1.520 states/eV per atom. The total energy comes out at -2.163 eV/atom. The calculated formation energy comes out at 0.0585 eV/atom.

---

V2PbI: optimized geometry, PBE.

a b c (Å): 4.7822 4.7822 4.7822
angles (deg): 60.00 60.00 60.00
Fractional positions:
V 0.2500 0.2500 0.2500
V 0.7500 0.7500 0.7500
Pb 0.0000 0.0000 0.0000
I 0.5000 0.5000 0.5000

Results
The density of states at the Fermi level is 1.275 states/eV per atom. The total energy comes out at -5.088 eV/atom. The raw formation energy comes out at 0.79 eV/atom. For the energy relative to the lowest polymorph listed for this composition, the calculation gives 0 meV per atom.

---

Pm3Ta5N12: optimized geometry, PBE.

a b c (Å): 11.3615 11.3615 11.3615
angles (deg): 109.47 109.47 109.47
Fractional positions:
Pm 0.1250 0.2500 0.3750
Pm 0.1250 0.3750 0.7500
Pm 0.2500 0.3750 0.1250
Pm 0.2500 0.8750 0.6250
Pm 0.3750 0.1250 0.2500
Pm 0.3750 0.7500 0.1250
Pm 0.6250 0.2500 0.8750
Pm 0.6250 0.8750 0.7500
Pm 0.7500 0.1250 0.3750
Pm 0.7500 0.6250 0.8750
Pm 0.8750 0.6250 0.2500
Pm 0.8750 0.7500 0.6250
Ta 0.0000 0.0000 0.0000
Ta 0.0000 0.0000 0.5000
Ta 0.0000 0.5000 0.0000
Ta 0.0000 0.5000 0.5000
Ta 0.1250 0.7500 0.8750
Ta 0.1250 0.8750 0.2500
Ta 0.2500 0.1250 0.8750
Ta 0.2500 0.6250 0.3750
Ta 0.3750 0.2500 0.6250
Ta 0.3750 0.6250 0.7500
Ta 0.5000 0.0000 0.0000
Ta 0.5000 0.0000 0.5000
Ta 0.5000 0.5000 0.0000
Ta 0.5000 0.5000 0.5000
Ta 0.6250 0.3750 0.2500
Ta 0.6250 0.7500 0.3750
Ta 0.7500 0.3750 0.6250
Ta 0.7500 0.8750 0.1250
Ta 0.8750 0.1250 0.7500
Ta 0.8750 0.2500 0.1250
N 0.0215 0.2004 0.1177
N 0.0215 0.3211 0.9038
N 0.0827 0.7004 0.6789
N 0.0827 0.8823 0.4038
N 0.0962 0.6177 0.4173
N 0.0962 0.9785 0.6789
N 0.1177 0.0215 0.2004
N 0.1177 0.5962 0.9173
N 0.1789 0.2004 0.5827
N 0.1789 0.4785 0.5962
N 0.2004 0.1177 0.0215
N 0.2004 0.5827 0.1789
N 0.2996 0.3211 0.9173
N 0.2996 0.4785 0.3823
N 0.3211 0.9038 0.0215
N 0.3211 0.9173 0.2996
N 0.3823 0.2996 0.4785
N 0.3823 0.5827 0.9038
N 0.4038 0.0827 0.8823
N 0.4038 0.8211 0.5215
N 0.4173 0.0962 0.6177
N 0.4173 0.8211 0.7996
N 0.4785 0.3823 0.2996
N 0.4785 0.5962 0.1789
N 0.5215 0.4038 0.8211
N 0.5215 0.6177 0.7004
N 0.5827 0.1789 0.2004
N 0.5827 0.9038 0.3823
N 0.5962 0.1789 0.4785
N 0.5962 0.9173 0.1177
N 0.6177 0.4173 0.0962
N 0.6177 0.7004 0.5215
N 0.6789 0.0827 0.7004
N 0.6789 0.0962 0.9785
N 0.7004 0.5215 0.6177
N 0.7004 0.6789 0.0827
N 0.7996 0.4173 0.8211
N 0.7996 0.8823 0.9785
N 0.8211 0.5215 0.4038
N 0.8211 0.7996 0.4173
N 0.8823 0.4038 0.0827
N 0.8823 0.9785 0.7996
N 0.9038 0.0215 0.3211
N 0.9038 0.3823 0.5827
N 0.9173 0.1177 0.5962
N 0.9173 0.2996 0.3211
N 0.9785 0.6789 0.0962
N 0.9785 0.7996 0.8823

Results
The density of states at the Fermi level is 0.852 states/eV per atom. The total energy comes out at -9.750 eV/atom. The raw formation energy comes out at -1.08 eV/atom.